10
Lattice="-2.654 -1.821 -0.813 2.041 -0.283 -6.030 6.325 -11.926 6.067" Properties=species:S:1:pos:R:3 comment="Tl7In2Hg PBE optimized geometry" total_magnetization_mub_per_fu=0.0 e_tot_ev_per_atom=-2.181 space_group="No. 65" e_above_lowest_polymorph_ev_per_fu=0.00 formation_enthalpy_0k_ev_per_atom=0.053 pbc="T T T"
Tl 5.048 -10.601 0.491
Tl 2.926 -4.807 1.216
Tl 1.704 -3.572 -4.338
Tl 5.440 -7.401 -1.179
Tl 0.664 -3.428 -1.266
Tl 4.009 -10.458 3.562
Tl -0.306 -1.052 -3.421
In 3.063 -8.122 1.417
In 2.649 -5.907 -2.193
Hg 0.000 0.000 0.000